# Pu2TlPb4, relaxed, DFT PBE
# - total DFT energy (no corrections) (eV/f.u.) = -46.10
data_Pu2TlPb4
_cell_length_a 6.603
_cell_length_b 6.603
_cell_length_c 5.073
_cell_angle_alpha 90.00
_cell_angle_beta 90.00
_cell_angle_gamma 104.72
_space_group_name_H-M_alt 'P 1'
_space_group_IT_number 1
_space_group_name_Hall 'P 1'
loop_
_atom_site_label
_atom_site_type_symbol
_atom_site_fract_x
_atom_site_fract_y
_atom_site_fract_z
Pu1 Pu 0.213 0.787 0.000
Pu2 Pu 0.787 0.213 0.000
Tl1 Tl 0.000 0.000 0.500
Pb1 Pb 0.000 0.500 0.500
Pb2 Pb 0.302 0.302 0.000
Pb3 Pb 0.500 0.000 0.500
Pb4 Pb 0.698 0.698 0.000



# Pu2Tl3Pb3, relaxed, DFT PBE
# - total DFT energy (no corrections) (eV/f.u.) = -47.69
data_Pu2Tl3Pb3
_cell_length_a 4.781
_cell_length_b 4.982
_cell_length_c 9.406
_cell_angle_alpha 90.00
_cell_angle_beta 90.00
_cell_angle_gamma 90.00
_space_group_name_H-M_alt 'P 1'
_space_group_IT_number 1
_space_group_name_Hall 'P 1'
loop_
_atom_site_label
_atom_site_type_symbol
_atom_site_fract_x
_atom_site_fract_y
_atom_site_fract_z
Pu1 Pu 0.000 0.000 0.249
Pu2 Pu 0.000 0.000 0.751
Tl1 Tl 0.000 0.500 0.500
Tl2 Tl 0.500 0.500 0.253
Tl3 Tl 0.500 0.500 0.747
Pb1 Pb 0.000 0.500 0.000
Pb2 Pb 0.500 0.000 0.000
Pb3 Pb 0.500 0.000 0.500



# Pu2TlPb, relaxed, DFT PBE
# - polymorph energy (0 for the lowest one) (eV/atom) = 0.1373
data_Pu2TlPb
_cell_length_a 11.256
_cell_length_b 11.256
_cell_length_c 11.256
_cell_angle_alpha 17.61
_cell_angle_beta 17.61
_cell_angle_gamma 17.61
_space_group_name_H-M_alt 'P 1'
_space_group_IT_number 1
_space_group_name_Hall 'P 1'
loop_
_atom_site_label
_atom_site_type_symbol
_atom_site_fract_x
_atom_site_fract_y
_atom_site_fract_z
Pu1 Pu 0.249 0.249 0.249
Pu2 Pu 0.751 0.751 0.751
Tl1 Tl 0.500 0.500 0.500
Pb1 Pb 0.000 0.000 0.000



# Pu2TlPb, relaxed, DFT PBE
# - polymorph energy (0 for the lowest one) (eV/atom) = 0.0057
data_Pu2TlPb
_cell_length_a 3.394
_cell_length_b 3.394
_cell_length_c 9.486
_cell_angle_alpha 90.00
_cell_angle_beta 90.00
_cell_angle_gamma 90.00
_space_group_name_H-M_alt 'P 1'
_space_group_IT_number 1
_space_group_name_Hall 'P 1'
loop_
_atom_site_label
_atom_site_type_symbol
_atom_site_fract_x
_atom_site_fract_y
_atom_site_fract_z
Pu1 Pu 0.000 0.000 0.250
Pu2 Pu 0.000 0.000 0.750
Tl1 Tl 0.500 0.500 0.000
Pb1 Pb 0.500 0.500 0.500



# PuTlZnPb, relaxed, DFT PBE
# - total DFT energy (no corrections) (eV/f.u.) = -21.35
data_PuTlZnPb
_cell_length_a 5.275
_cell_length_b 5.275
_cell_length_c 5.275
_cell_angle_alpha 60.00
_cell_angle_beta 60.00
_cell_angle_gamma 60.00
_space_group_name_H-M_alt 'P 1'
_space_group_IT_number 1
_space_group_name_Hall 'P 1'
loop_
_atom_site_label
_atom_site_type_symbol
_atom_site_fract_x
_atom_site_fract_y
_atom_site_fract_z
Pu1 Pu 0.000 0.000 0.000
Tl1 Tl 0.750 0.750 0.750
Zn1 Zn 0.500 0.500 0.500
Pb1 Pb 0.250 0.250 0.250



# TmPuPb, relaxed, DFT PBE
# - polymorph energy (0 for the lowest one) (eV/atom) = 0.0000
data_TmPuPb
_cell_length_a 5.494
_cell_length_b 5.494
_cell_length_c 6.305
_cell_angle_alpha 90.00
_cell_angle_beta 90.00
_cell_angle_gamma 120.00
_space_group_name_H-M_alt 'P 1'
_space_group_IT_number 1
_space_group_name_Hall 'P 1'
loop_
_atom_site_label
_atom_site_type_symbol
_atom_site_fract_x
_atom_site_fract_y
_atom_site_fract_z
Tm1 Tm 0.333 0.667 0.250
Tm2 Tm 0.667 0.333 0.750
Pu1 Pu 0.000 0.000 0.000
Pu2 Pu 0.000 0.000 0.500
Pb1 Pb 0.333 0.667 0.750
Pb2 Pb 0.667 0.333 0.250